[1]
A plane-wave DFT calculation with PBE was carried out for an optimized crystal structure of Cs2Tl4Br3Cl2.

Values from the calculation:
space-group type = No. 139
ΔE_f (raw) = -1021 meV/atom

a = 19.144 Å, b = 19.144 Å, c = 19.144 Å
α = 164.34°, β = 164.34°, γ = 22.22°
Sites, in units of the cell vectors:
Cs 0.204 0.204 0.000
Cs 0.796 0.796 0.000
Tl 0.067 0.567 0.500
Tl 0.433 0.933 0.500
Tl 0.567 0.067 0.500
Tl 0.933 0.433 0.500
Br 0.301 0.301 0.000
Br 0.500 0.500 0.000
Br 0.699 0.699 0.000
Cl 0.108 0.108 0.000
Cl 0.892 0.892 0.000

---

[2]
A plane-wave DFT calculation with PBE was carried out for an optimized crystal structure of PPb3O6.

Values from the calculation:
space-group type = No. 36
ΔE_f (raw) = -1535 meV/atom

a = 7.662 Å, b = 7.662 Å, c = 5.810 Å
α = 90.00°, β = 90.00°, γ = 104.07°
Sites, in units of the cell vectors:
P 0.204 0.796 0.500
P 0.796 0.204 0.000
Pb 0.092 0.305 0.527
Pb 0.305 0.092 0.027
Pb 0.409 0.591 0.031
Pb 0.591 0.409 0.531
Pb 0.695 0.908 0.527
Pb 0.908 0.695 0.027
O 0.077 0.923 0.460
O 0.120 0.610 0.381
O 0.232 0.768 0.763
O 0.345 0.357 0.777
O 0.357 0.345 0.277
O 0.390 0.880 0.381
O 0.610 0.120 0.881
O 0.643 0.655 0.777
O 0.655 0.643 0.277
O 0.768 0.232 0.263
O 0.880 0.390 0.881
O 0.923 0.077 0.960

---

[3]
A plane-wave DFT calculation with PBE was carried out for an optimized crystal structure of CsCdP2S.

Values from the calculation:
ΔE to the lowest computed polymorph = 0.000 eV per atom
space-group type = No. 123
ΔE_f (raw) = 509 meV/atom

a = 5.175 Å, b = 5.175 Å, c = 5.392 Å
α = 90.00°, β = 90.00°, γ = 90.00°
Sites, in units of the cell vectors:
Cs 0.000 0.000 0.000
Cd 0.500 0.500 0.500
P 0.000 0.500 0.500
P 0.500 0.000 0.500
S 0.500 0.500 0.000

---

[4]
A plane-wave DFT calculation with PBE was carried out for an optimized crystal structure of MgTc2Sb.

Values from the calculation:
ΔE to the lowest computed polymorph = 0.141 eV per atom
space-group type = No. 44
ΔE_f (raw) = 188 meV/atom

a = 5.424 Å, b = 5.424 Å, c = 5.424 Å
α = 145.37°, β = 131.58°, γ = 60.89°
Sites, in units of the cell vectors:
Mg 0.000 0.000 0.000
Tc 0.512 0.512 0.000
Tc 0.745 0.245 0.500
Sb 0.275 0.775 0.500

---

[5]
A plane-wave DFT calculation with PBE was carried out for an optimized crystal structure of ZrZnTe2.

Values from the calculation:
space-group type = No. 160
ΔE_f (raw) = -489 meV/atom

a = 7.977 Å, b = 7.977 Å, c = 7.977 Å
α = 29.96°, β = 29.96°, γ = 29.96°
Sites, in units of the cell vectors:
Zr 0.000 0.000 0.000
Zn 0.272 0.272 0.272
Te 0.555 0.555 0.555
Te 0.743 0.743 0.743

---

[6]
A plane-wave DFT calculation with PBE was carried out for an optimized crystal structure of LuTiCd2.

Values from the calculation:
ΔE to the lowest computed polymorph = 0.000 eV per atom
space-group type = No. 123

a = 3.539 Å, b = 3.539 Å, c = 6.952 Å
α = 90.00°, β = 90.00°, γ = 90.00°
Sites, in units of the cell vectors:
Lu 0.000 0.000 0.000
Ti 0.000 0.000 0.500
Cd 0.500 0.500 0.274
Cd 0.500 0.500 0.726

---

What is the formula in the first record?
Cs2Tl4Br3Cl2

---

Copy entry 5 word for word.
A plane-wave DFT calculation with PBE was carried out for an optimized crystal structure of ZrZnTe2.

Values from the calculation:
space-group type = No. 160
ΔE_f (raw) = -489 meV/atom

a = 7.977 Å, b = 7.977 Å, c = 7.977 Å
α = 29.96°, β = 29.96°, γ = 29.96°
Sites, in units of the cell vectors:
Zr 0.000 0.000 0.000
Zn 0.272 0.272 0.272
Te 0.555 0.555 0.555
Te 0.743 0.743 0.743